# 1
First-principles (PBE-GGA) data for an optimized crystal structure of PmGa2PtO8, as listed in Alexandria.

Lattice parameters (Å, degrees): 4.514 6.632 4.717 90.00 91.62 90.00
Positions (direct):
Pm: 0.000 0.000 0.000
Ga: 0.500 0.266 0.500
Ga: 0.500 0.734 0.500
Pt: 0.000 0.500 0.000
O: 0.253 0.500 0.662
O: 0.257 0.283 0.156
O: 0.257 0.717 0.156
O: 0.263 0.000 0.563
O: 0.737 0.000 0.437
O: 0.743 0.283 0.844
O: 0.743 0.717 0.844
O: 0.747 0.500 0.338

The calculation puts the final energy at -6.06 eV/atom.

---

# 2
First-principles (PBE-GGA) data for an optimized crystal structure of NaTbCu2F8, as listed in Alexandria.

Lattice parameters (Å, degrees): 6.533 6.533 6.533 130.40 130.40 72.76
Positions (direct):
Na: 0.000 0.000 0.000
Tb: 0.750 0.250 0.500
Cu: 0.250 0.750 0.500
Cu: 0.500 0.500 0.000
F: 0.019 0.641 0.046
F: 0.027 0.981 0.623
F: 0.138 0.297 0.566
F: 0.359 0.405 0.377
F: 0.428 0.862 0.159
F: 0.595 0.973 0.954
F: 0.703 0.269 0.841
F: 0.731 0.572 0.434

The calculation puts the final energy at -4.99 eV/atom.

---

# 3
First-principles (PBE-GGA) data for an optimized crystal structure of Lu2TiAl, as listed in Alexandria.

Lattice parameters (Å, degrees): 7.139 7.139 7.139 90.00 90.00 90.00
Positions (direct):
Lu: 0.250 0.250 0.250
Lu: 0.250 0.250 0.750
Lu: 0.250 0.750 0.250
Lu: 0.250 0.750 0.750
Lu: 0.750 0.250 0.250
Lu: 0.750 0.250 0.750
Lu: 0.750 0.750 0.250
Lu: 0.750 0.750 0.750
Ti: 0.000 0.000 0.000
Ti: 0.000 0.500 0.500
Ti: 0.500 0.000 0.500
Ti: 0.500 0.500 0.000
Al: 0.000 0.000 0.500
Al: 0.000 0.500 0.000
Al: 0.500 0.000 0.000
Al: 0.500 0.500 0.500

The calculation puts the formation energy at -0.06 eV/atom.

---

Calculated calculated volume, 11.76; 13.16; 22.74 Å³/atom (same order as the records).